Record 1
The following is a PBE calculation of an optimized crystal structure of BaNaIr, from Alexandria via LeMat-Bulk.

a b c (Å): 4.5949 5.6910 8.4784
angles (deg): 101.97 105.72 90.00
Fractional coordinates of all 6 atoms:
Ba: 0.8547 0.6551 0.7093
Ba: 0.1453 0.3449 0.2907
Na: 0.5870 0.8070 0.1740
Na: 0.4130 0.1930 0.8260
Ir: 0.7602 0.0718 0.5204
Ir: 0.2398 0.9282 0.4796

Properties
The calculation puts the size of the total moment at 0.00 μB per atom. The energy above the most stable polymorph in this dataset comes out at 102 meV/atom. As for the space-group type: No. 12. The crystal system is monoclinic. The calculation puts the formation energy at -26 meV/atom.

***

Record 2
The following is a PBE calculation of an optimized crystal structure of Ba6NaIr, from Alexandria via LeMat-Bulk.

a b c (Å): 8.2499 8.2489 9.1076
angles (deg): 63.08 63.15 60.04
Fractional coordinates of all 8 atoms:
Ba: 0.6045 0.2088 0.2262
Ba: 0.7911 0.0389 0.7736
Ba: 0.0393 0.3959 0.7733
Ba: 0.9607 0.6041 0.2267
Ba: 0.3955 0.7912 0.7738
Ba: 0.2089 0.9611 0.2264
Na: 0.5000 0.5000 0.5000
Ir: 0.0000 0.0000 0.0000

Properties
The calculation puts the size of the total moment at 0.00 μB per atom. The energy above the most stable polymorph in this dataset comes out at 33 meV/atom. As for the space-group type: No. 2. The crystal system is triclinic. The calculation puts the formation energy at -64 meV/atom.

***

Record 3
The following is a PBE calculation of an optimized crystal structure of Ba7Na2Ir, from Alexandria via LeMat-Bulk.

a b c (Å): 10.2982 11.8845 10.7408
angles (deg): 78.54 61.35 64.33
Fractional coordinates of all 20 atoms:
Ba: 0.2536 0.8609 0.9521
Ba: 0.6797 0.7839 0.4626
Ba: 0.0880 0.9815 0.6456
Ba: 0.3971 0.7500 0.2500
Ba: 0.9262 0.7161 0.0374
Ba: 0.0738 0.2839 0.9626
Ba: 0.6029 0.2500 0.7500
Ba: 0.9120 0.0185 0.3544
Ba: 0.9334 0.3609 0.4521
Ba: 0.0666 0.6391 0.5479
Ba: 0.7464 0.1391 0.0479
Ba: 0.3203 0.2161 0.5374
Ba: 0.7151 0.5185 0.8544
Ba: 0.2849 0.4815 0.1456
Na: 0.3834 0.5938 0.6803
Na: 0.6166 0.4062 0.3197
Na: 0.6575 0.9062 0.8197
Na: 0.3425 0.0938 0.1803
Ir: 0.9272 0.2500 0.7500
Ir: 0.0728 0.7500 0.2500

Properties
The calculation puts the size of the total moment at 0.00 μB per atom. As for the space-group type: No. 15. The crystal system is monoclinic. The calculation puts the formation energy at -33 meV/atom.

***

Record 4
The following is a PBE calculation of an optimized crystal structure of Ba6Na2IrO, from Alexandria via LeMat-Bulk.

a b c (Å): 8.2931 8.2931 8.7626
angles (deg): 118.26 118.26 89.96
Fractional coordinates of all 10 atoms:
Ba: 0.2314 0.7616 0.9927
Ba: 0.2456 0.2462 0.4915
Ba: 0.2320 0.2322 0.9929
Ba: 0.7613 0.2321 0.9926
Ba: 0.7608 0.7616 0.9926
Ba: 0.7219 0.7224 0.4437
O: 0.0463 0.0468 0.0925
Na: 0.2505 0.7509 0.5010
Na: 0.7504 0.2509 0.5010
Ir: 0.4988 0.4993 0.9975

Properties
The calculation puts the size of the total moment at 0.00 μB per atom. As for the space-group type: No. 42. The crystal system is orthorhombic. The calculation puts the uncorrected formation energy at -0.50 eV/atom.

***

Record 5
The following is a PBE calculation of an optimized crystal structure of Ba2Na3IrO6, from Alexandria via LeMat-Bulk.

a b c (Å): 6.4803 6.4803 5.9138
angles (deg): 98.91 98.91 122.86
Fractional coordinates of all 12 atoms:
O: 0.0686 0.3200 0.2194
O: 0.3200 0.0686 0.2194
O: 0.2154 0.2154 0.7993
O: 0.7846 0.7846 0.2007
O: 0.9314 0.6800 0.7806
O: 0.6800 0.9314 0.7806
Na: 0.5000 0.5000 0.5000
Na: 0.8772 0.1228 0.5000
Na: 0.1228 0.8772 0.5000
Ba: 0.6702 0.3298 0.0000
Ba: 0.3298 0.6702 0.0000
Ir: 0.0000 0.0000 0.0000

Properties
The calculation puts the size of the total moment at 0.17 μB per atom. As for the space-group type: No. 12. The crystal system is monoclinic. The calculation puts the uncorrected formation energy at -1.61 eV/atom.

***

Record 6
The following is a PBE calculation of an optimized crystal structure of Ba3NaIr2O9, from Alexandria via LeMat-Bulk.

a b c (Å): 5.9614 5.9614 14.6042
angles (deg): 90.00 90.00 120.00
Fractional coordinates of all 30 atoms:
Ir: 0.3333 0.6667 0.1626
Ir: 0.6667 0.3333 0.6626
Ir: 0.3333 0.6667 0.3374
Ir: 0.6667 0.3333 0.8374
Ba: 0.3333 0.6667 0.9162
Ba: 0.6667 0.3333 0.0838
Ba: 0.3333 0.6667 0.5838
Ba: 0.0000 0.0000 0.2500
Ba: 0.6667 0.3333 0.4162
Ba: 0.0000 0.0000 0.7500
O: 0.1798 0.3596 0.4108
O: 0.3596 0.1798 0.9108
O: 0.8202 0.6404 0.9108
O: 0.0203 0.5101 0.2500
O: 0.8202 0.1798 0.9108
O: 0.3596 0.1798 0.5892
O: 0.8202 0.1798 0.5892
O: 0.5101 0.4899 0.7500
O: 0.1798 0.8202 0.4108
O: 0.5101 0.0203 0.7500
O: 0.6404 0.8202 0.0892
O: 0.6404 0.8202 0.4108
O: 0.4899 0.5101 0.2500
O: 0.9797 0.4899 0.7500
O: 0.1798 0.3596 0.0892
O: 0.4899 0.9797 0.2500
O: 0.8202 0.6404 0.5892
O: 0.1798 0.8202 0.0892
Na: 0.0000 0.0000 0.5000
Na: 0.0000 0.0000 0.0000

Properties
The calculation puts the size of the total moment at 0.18 μB per atom. The energy above the most stable polymorph in this dataset comes out at 0 meV/atom. As for the space-group type: No. 194. The crystal system is hexagonal. The calculation puts the uncorrected formation energy at -1.73 eV/atom.

***

Record 7
The following is a PBE calculation of an optimized crystal structure of Ba3NaIr2O9, from Alexandria via LeMat-Bulk.

a b c (Å): 5.8606 5.8606 7.2368
angles (deg): 90.00 90.00 120.00
Fractional coordinates of all 15 atoms:
Na: 0.0000 0.0000 0.5000
O: 0.0000 0.5000 0.0000
O: 0.1791 0.8209 0.3112
O: 0.1791 0.3583 0.3112
O: 0.3583 0.1791 0.6888
O: 0.8209 0.1791 0.6888
O: 0.6417 0.8209 0.3112
O: 0.5000 0.0000 0.0000
O: 0.5000 0.5000 0.0000
O: 0.8209 0.6417 0.6888
Ir: 0.3333 0.6667 0.1591
Ir: 0.6667 0.3333 0.8409
Ba: 0.0000 0.0000 0.0000
Ba: 0.3333 0.6667 0.6566
Ba: 0.6667 0.3333 0.3434

Properties
The calculation puts the size of the total moment at 0.22 μB per atom. The energy above the most stable polymorph in this dataset comes out at 8 meV/atom. As for the space-group type: No. 164. The crystal system is trigonal. The calculation puts the uncorrected formation energy at -1.72 eV/atom.

***

Record 8
The following is a PBE calculation of an optimized crystal structure of BaNa2IrO5, from Alexandria via LeMat-Bulk.

a b c (Å): 3.9150 5.8853 6.6704
angles (deg): 116.18 107.07 90.00
Fractional coordinates of all 9 atoms:
Ba: 0.0000 0.5000 0.0000
Na: 0.2193 0.2193 0.4386
Na: 0.7807 0.7807 0.5614
O: 0.3780 0.6436 0.7561
O: 0.0000 0.0000 0.0000
O: 0.3780 0.1124 0.7561
O: 0.6220 0.3564 0.2439
O: 0.6220 0.8876 0.2439
Ir: 0.5000 0.0000 0.0000

Properties
The calculation puts the size of the total moment at 0.31 μB per atom. As for the space-group type: No. 71. The crystal system is orthorhombic. The calculation puts the uncorrected formation energy at -1.47 eV/atom.

***

Record 9
The following is a PBE calculation of an optimized crystal structure of Ba2Na2IrO6, from Alexandria via LeMat-Bulk.

a b c (Å): 6.4019 6.4019 5.9249
angles (deg): 95.66 95.66 119.10
Fractional coordinates of all 11 atoms:
O: 0.9694 0.7084 0.3120
O: 0.2916 0.0306 0.6880
O: 0.7084 0.9694 0.3120
O: 0.0306 0.2916 0.6880
O: 0.7939 0.7939 0.7067
O: 0.2061 0.2061 0.2933
Na: 0.1205 0.8795 0.0000
Na: 0.8795 0.1205 0.0000
Ba: 0.3382 0.6617 0.5000
Ba: 0.6617 0.3382 0.5000
Ir: 0.0000 0.0000 0.5000

Properties
The calculation puts the size of the total moment at 0.27 μB per atom. As for the space-group type: No. 12. The crystal system is monoclinic. The calculation puts the uncorrected formation energy at -1.63 eV/atom.

***

Record 10
The following is a PBE calculation of an optimized crystal structure of BaNa2IrO6, from Alexandria via LeMat-Bulk.

a b c (Å): 6.1658 6.1658 6.1658
angles (deg): 57.46 57.46 57.46
Fractional coordinates of all 10 atoms:
Ba: 0.4921 0.4921 0.4921
O: 0.2138 0.6817 0.9267
O: 0.3443 0.0724 0.8337
O: 0.6817 0.9267 0.2138
O: 0.0724 0.8337 0.3443
O: 0.9267 0.2138 0.6817
O: 0.8337 0.3443 0.0724
Na: 0.2168 0.2168 0.2168
Na: 0.7111 0.7111 0.7111
Ir: 0.0079 0.0079 0.0079

Properties
The calculation puts the size of the total moment at 0.09 μB per atom. As for the space-group type: No. 146. The crystal system is trigonal. The calculation puts the uncorrected formation energy at -1.28 eV/atom.

***

Among the records above, which one has the highest size of the total moment? BaNa2IrO5